No. 1
{"formula": "LaCeThSc", "functional": "GGA-PBE", "state": "optimized geometry", "m_tot_mub_per_cell": 0.152, "ef_mev_per_atom": 177, "crystal_system": "cubic", "rho_g_cm3": 7.64, "vol_a3_per_atom": 30.21, "lattice_angstrom": [[0.000, 3.924, 3.924], [3.924, 0.000, 3.924], [3.924, 3.924, 0.000]], "species": ["La", "Ce", "Th", "Sc"], "fractional_positions": [[0.000, 0.000, 0.000], [0.750, 0.750, 0.750], [0.500, 0.500, 0.500], [0.250, 0.250, 0.250]]}

No. 2
{"formula": "InPCl", "functional": "GGA-PBE", "state": "optimized geometry", "m_tot_mub_per_cell": 0.000, "formation_energy_uncorrected_mev_per_atom": 64, "crystal_system": "orthorhombic", "rho_g_cm3": 3.84, "vol_a3_per_atom": 26.16, "lattice_angstrom": [[0.000, 2.867, 7.112], [1.924, 0.000, 7.112], [1.924, 2.867, 0.000]], "species": ["In", "P", "Cl"], "fractional_positions": [[0.000, 0.000, 0.000], [0.620, 0.620, 0.380], [0.367, 0.367, 0.633]]}

Q: What is the formula in the first record?
A: LaCeThSc